No. 1
First-principles (PBE-GGA) data for Ce12IrRu6 after structural relaxation, as listed in Alexandria.

Energy of formation from the pure elements = -221 meV per atom

```
data_Ce12IrRu6
_cell_length_a 8.068
_cell_length_b 8.068
_cell_length_c 8.068
_cell_angle_alpha 97.58
_cell_angle_beta 97.58
_cell_angle_gamma 97.58
_space_group_name_H-M_alt 'P 1'
_space_group_IT_number 1
loop_
_space_group_symop_operation_xyz
'x,y,z'
loop_
_atom_site_label
_atom_site_type_symbol
_atom_site_fract_x
_atom_site_fract_y
_atom_site_fract_z
Ce1 Ce 0.055 0.673 0.900
Ce2 Ce 0.100 0.945 0.327
Ce3 Ce 0.190 0.401 0.566
Ce4 Ce 0.327 0.100 0.945
Ce5 Ce 0.401 0.566 0.190
Ce6 Ce 0.434 0.810 0.599
Ce7 Ce 0.566 0.190 0.401
Ce8 Ce 0.599 0.434 0.810
Ce9 Ce 0.673 0.900 0.055
Ce10 Ce 0.810 0.599 0.434
Ce11 Ce 0.900 0.055 0.673
Ce12 Ce 0.945 0.327 0.100
Ir1 Ir 0.000 0.000 0.000
Ru1 Ru 0.134 0.621 0.316
Ru2 Ru 0.316 0.134 0.621
Ru3 Ru 0.379 0.684 0.866
Ru4 Ru 0.621 0.316 0.134
Ru5 Ru 0.684 0.866 0.379
Ru6 Ru 0.866 0.379 0.684
```


No. 2
First-principles (PBE-GGA) data for Ce2IrRu after structural relaxation, as listed in Alexandria.

Energy of formation from the pure elements = -595 meV per atom

```
data_Ce2IrRu
_cell_length_a 5.957
_cell_length_b 3.970
_cell_length_c 7.694
_cell_angle_alpha 90.00
_cell_angle_beta 108.78
_cell_angle_gamma 90.00
_space_group_name_H-M_alt 'P 1'
_space_group_IT_number 1
loop_
_space_group_symop_operation_xyz
'x,y,z'
loop_
_atom_site_label
_atom_site_type_symbol
_atom_site_fract_x
_atom_site_fract_y
_atom_site_fract_z
Ce1 Ce 0.222 0.250 0.426
Ce2 Ce 0.225 0.250 0.935
Ce3 Ce 0.775 0.750 0.065
Ce4 Ce 0.778 0.750 0.574
Ir1 Ir 0.315 0.750 0.702
Ir2 Ir 0.685 0.250 0.298
Ru1 Ru 0.302 0.750 0.202
Ru2 Ru 0.698 0.250 0.798
```


No. 3
First-principles (PBE-GGA) data for Ce6IrRu2 after structural relaxation, as listed in Alexandria.

Energy of formation from the pure elements = -302 meV per atom
Energy above the lowest structure with this stoichiometry = 79 kJ/mol of formula units

```
data_Ce6IrRu2
_cell_length_a 6.457
_cell_length_b 7.140
_cell_length_c 11.566
_cell_angle_alpha 90.00
_cell_angle_beta 122.15
_cell_angle_gamma 90.00
_space_group_name_H-M_alt 'P 1'
_space_group_IT_number 1
loop_
_space_group_symop_operation_xyz
'x,y,z'
loop_
_atom_site_label
_atom_site_type_symbol
_atom_site_fract_x
_atom_site_fract_y
_atom_site_fract_z
Ce1 Ce 0.080 0.189 0.426
Ce2 Ce 0.080 0.311 0.926
Ce3 Ce 0.276 0.651 0.444
Ce4 Ce 0.276 0.849 0.944
Ce5 Ce 0.410 0.064 0.238
Ce6 Ce 0.410 0.436 0.738
Ce7 Ce 0.590 0.564 0.262
Ce8 Ce 0.590 0.936 0.762
Ce9 Ce 0.724 0.151 0.056
Ce10 Ce 0.724 0.349 0.556
Ce11 Ce 0.920 0.689 0.074
Ce12 Ce 0.920 0.811 0.574
Ir1 Ir 0.500 0.000 0.500
Ir2 Ir 0.500 0.500 0.000
Ru1 Ru 0.184 0.122 0.726
Ru2 Ru 0.184 0.378 0.226
Ru3 Ru 0.816 0.622 0.774
Ru4 Ru 0.816 0.878 0.274
```


No. 4
First-principles (PBE-GGA) data for Ce2IrRu after structural relaxation, as listed in Alexandria.

Energy of formation from the pure elements = 109 meV per atom

```
data_Ce2IrRu
_cell_length_a 10.113
_cell_length_b 10.113
_cell_length_c 10.113
_cell_angle_alpha 17.11
_cell_angle_beta 17.11
_cell_angle_gamma 17.11
_space_group_name_H-M_alt 'P 1'
_space_group_IT_number 1
loop_
_space_group_symop_operation_xyz
'x,y,z'
loop_
_atom_site_label
_atom_site_type_symbol
_atom_site_fract_x
_atom_site_fract_y
_atom_site_fract_z
Ce1 Ce 0.089 0.089 0.089
Ce2 Ce 0.911 0.911 0.911
Ir1 Ir 0.000 0.000 0.000
Ru1 Ru 0.500 0.500 0.500
```


No. 5
First-principles (PBE-GGA) data for Ce2Ir3Ru after structural relaxation, as listed in Alexandria.

Energy of formation from the pure elements = -659 meV per atom

```
data_Ce2Ir3Ru
_cell_length_a 5.381
_cell_length_b 5.381
_cell_length_c 5.381
_cell_angle_alpha 60.10
_cell_angle_beta 60.10
_cell_angle_gamma 60.10
_space_group_name_H-M_alt 'P 1'
_space_group_IT_number 1
loop_
_space_group_symop_operation_xyz
'x,y,z'
loop_
_atom_site_label
_atom_site_type_symbol
_atom_site_fract_x
_atom_site_fract_y
_atom_site_fract_z
Ce1 Ce 0.125 0.125 0.125
Ce2 Ce 0.875 0.875 0.875
Ir1 Ir 0.000 0.500 0.500
Ir2 Ir 0.500 0.000 0.500
Ir3 Ir 0.500 0.500 0.000
Ru1 Ru 0.500 0.500 0.500
```


No. 6
First-principles (PBE-GGA) data for CeSi2IrRu after structural relaxation, as listed in Alexandria.

E_form (uncorrected) = -479 kJ/mol of formula units

```
data_CeSi2IrRu
_cell_length_a 5.755
_cell_length_b 5.755
_cell_length_c 5.755
_cell_angle_alpha 137.64
_cell_angle_beta 137.64
_cell_angle_gamma 61.45
_space_group_name_H-M_alt 'P 1'
_space_group_IT_number 1
loop_
_space_group_symop_operation_xyz
'x,y,z'
loop_
_atom_site_label
_atom_site_type_symbol
_atom_site_fract_x
_atom_site_fract_y
_atom_site_fract_z
Ce1 Ce 0.000 0.000 0.000
Si1 Si 0.373 0.373 0.000
Si2 Si 0.627 0.627 0.000
Ir1 Ir 0.750 0.250 0.500
Ru1 Ru 0.250 0.750 0.500
```


No. 7
First-principles (PBE-GGA) data for CeSnIrRu after structural relaxation, as listed in Alexandria.

Energy of formation from the pure elements = -378 meV per atom

```
data_CeSnIrRu
_cell_length_a 4.768
_cell_length_b 4.768
_cell_length_c 4.768
_cell_angle_alpha 60.00
_cell_angle_beta 60.00
_cell_angle_gamma 60.00
_space_group_name_H-M_alt 'P 1'
_space_group_IT_number 1
loop_
_space_group_symop_operation_xyz
'x,y,z'
loop_
_atom_site_label
_atom_site_type_symbol
_atom_site_fract_x
_atom_site_fract_y
_atom_site_fract_z
Ce1 Ce 0.000 0.000 0.000
Sn1 Sn 0.500 0.500 0.500
Ir1 Ir 0.750 0.750 0.750
Ru1 Ru 0.250 0.250 0.250
```


No. 8
First-principles (PBE-GGA) data for CeYIrRu after structural relaxation, as listed in Alexandria.

Energy of formation from the pure elements = -526 meV per atom
Energy above the lowest structure with this stoichiometry = 9 kJ/mol of formula units

```
data_CeYIrRu
_cell_length_a 4.884
_cell_length_b 4.884
_cell_length_c 4.884
_cell_angle_alpha 60.00
_cell_angle_beta 60.00
_cell_angle_gamma 60.00
_space_group_name_H-M_alt 'P 1'
_space_group_IT_number 1
loop_
_space_group_symop_operation_xyz
'x,y,z'
loop_
_atom_site_label
_atom_site_type_symbol
_atom_site_fract_x
_atom_site_fract_y
_atom_site_fract_z
Ce1 Ce 0.000 0.000 0.000
Y1 Y 0.500 0.500 0.500
Ir1 Ir 0.250 0.250 0.250
Ru1 Ru 0.750 0.750 0.750
```


| no. | density (Mg/m³) |
| --- | --- |
| 1 | 8.07 |
| 2 | 11.06 |
| 3 | 9.08 |
| 4 | 12.20 |
| 5 | 14.41 |
| 6 | 9.50 |
| 7 | 11.96 |
| 8 | 10.53 |